Computed, not measured: an optimized crystal structure of ZrTe2 at the PBE level of DFT.

Results
- V (Å³ per cell) = 348.9
- electronic total energy (eV for the cell shown) = -65.84

Cell lengths 3.5131, 18.7836, 5.2877 Å; angles 90.00, 90.00, 90.00 degrees
Space group Cmcm (No. 63)
Symmetry-distinct sites (fractional):
Zr1 0.0000 0.0701 0.2500 (multiplicity 4)
Te1 0.0000 0.3032 0.7500 (multiplicity 4)
Te2 0.0000 0.4428 0.2500 (multiplicity 4)